No. 1
{"formula": "La5HoCd3", "functional": "PBE", "state": "optimized geometry", "lattice_angstrom": [[9.612, 0.000, 0.000], [-4.806, 8.324, 0.000], [0.000, 0.000, 7.121]], "species": ["La", "La", "La", "La", "La", "La", "La", "La", "La", "La", "Ho", "Ho", "Cd", "Cd", "Cd", "Cd", "Cd", "Cd"], "fractional_positions": [[0.000, 0.337, 0.250], [0.000, 0.663, 0.750], [0.333, 0.667, 0.000], [0.333, 0.667, 0.500], [0.337, 0.000, 0.250], [0.337, 0.337, 0.750], [0.663, 0.000, 0.750], [0.663, 0.663, 0.250], [0.667, 0.333, 0.000], [0.667, 0.333, 0.500], [0.000, 0.000, 0.000], [0.000, 0.000, 0.500], [0.000, 0.323, 0.750], [0.000, 0.677, 0.250], [0.323, 0.000, 0.750], [0.323, 0.323, 0.250], [0.677, 0.000, 0.250], [0.677, 0.677, 0.750]], "delta_e_f_ev_per_atom": -0.18, "magnetic_moment_mub_per_fu": 0.000, "crystal_system": "hexagonal"}

***

No. 2
{"formula": "YU2OsC4", "functional": "PBE", "state": "optimized geometry", "lattice_angstrom": [[1.757, -5.765, 0.000], [1.757, 5.765, 0.000], [0.000, 0.000, 11.757]], "species": ["Y", "Y", "U", "U", "U", "U", "Os", "Os", "C", "C", "C", "C", "C", "C", "C", "C"], "fractional_positions": [[0.109, 0.891, 0.750], [0.891, 0.109, 0.250], [0.370, 0.630, 0.546], [0.370, 0.630, 0.954], [0.630, 0.370, 0.046], [0.630, 0.370, 0.454], [0.152, 0.848, 0.250], [0.848, 0.152, 0.750], [0.000, 0.000, 0.000], [0.000, 0.000, 0.500], [0.260, 0.740, 0.118], [0.260, 0.740, 0.382], [0.445, 0.555, 0.750], [0.555, 0.445, 0.250], [0.740, 0.260, 0.618], [0.740, 0.260, 0.882]], "delta_e_f_ev_per_atom": -0.04, "magnetic_moment_mub_per_fu": 0.000, "crystal_system": "orthorhombic"}

***

No. 3
{"formula": "Pd8Pt4Rh", "functional": "PBE", "state": "optimized geometry", "lattice_angstrom": [[2.679, 1.547, 8.709], [-2.679, 1.547, 8.709], [0.000, -3.094, 8.709]], "species": ["Pd", "Pd", "Pd", "Pd", "Pd", "Pd", "Pd", "Pd", "Pt", "Pt", "Pt", "Pt", "Rh"], "fractional_positions": [[0.182, 0.182, 0.182], [0.241, 0.748, 0.748], [0.252, 0.252, 0.759], [0.252, 0.759, 0.252], [0.748, 0.241, 0.748], [0.748, 0.748, 0.241], [0.759, 0.252, 0.252], [0.818, 0.818, 0.818], [0.000, 0.500, 0.500], [0.500, 0.000, 0.500], [0.500, 0.500, 0.000], [0.500, 0.500, 0.500], [0.000, 0.000, 0.000]], "delta_e_f_ev_per_atom": 0.19, "magnetic_moment_mub_per_fu": 0.000, "crystal_system": "trigonal"}

***

No. 4
{"formula": "BaGaTc2N4", "functional": "PBE", "state": "optimized geometry", "lattice_angstrom": [[-2.583, 2.583, 4.301], [2.583, -2.583, 4.301], [2.583, 2.583, -4.301]], "species": ["Ba", "Ga", "Tc", "Tc", "N", "N", "N", "N"], "fractional_positions": [[0.000, 0.000, 0.000], [0.500, 0.500, 0.000], [0.250, 0.750, 0.500], [0.750, 0.250, 0.500], [0.138, 0.138, 0.621], [0.482, 0.862, 0.000], [0.518, 0.518, 0.379], [0.862, 0.482, 0.000]], "raw_formation_energy_kj_per_mol_fu": 25, "magnetic_moment_mub_per_fu": 0.000, "crystal_system": "tetragonal"}

***

No. 5
{"formula": "HoTmPd", "functional": "PBE", "state": "optimized geometry", "lattice_angstrom": [[0.000, 3.425, 3.425], [3.425, 0.000, 3.425], [3.425, 3.425, 0.000]], "species": ["Ho", "Tm", "Pd"], "fractional_positions": [[0.000, 0.000, 0.000], [0.500, 0.500, 0.500], [0.750, 0.750, 0.750]], "delta_e_f_ev_per_atom": -0.50, "magnetic_moment_mub_per_fu": 0.000, "crystal_system": "cubic"}

***

No. 6
{"formula": "TbSmAs2O8", "functional": "PBE", "state": "optimized geometry", "lattice_angstrom": [[-2.548, 2.548, 5.744], [2.548, -2.548, 5.744], [2.548, 2.548, -5.744]], "species": ["Tb", "Sm", "As", "As", "O", "O", "O", "O", "O", "O", "O", "O"], "fractional_positions": [[0.000, 0.000, 0.000], [0.750, 0.250, 0.500], [0.250, 0.750, 0.500], [0.500, 0.500, 0.000], [0.028, 0.921, 0.609], [0.079, 0.687, 0.107], [0.172, 0.275, 0.602], [0.313, 0.420, 0.391], [0.430, 0.828, 0.103], [0.580, 0.972, 0.893], [0.673, 0.570, 0.398], [0.725, 0.327, 0.897]], "raw_formation_energy_kj_per_mol_fu": -2714, "magnetic_moment_mub_per_fu": 0.000, "crystal_system": "tetragonal"}

***

No. 7
{"formula": "SrMnAl", "functional": "PBE", "state": "optimized geometry", "lattice_angstrom": [[0.000, 3.634, 3.634], [3.634, 0.000, 3.634], [3.634, 3.634, 0.000]], "species": ["Sr", "Mn", "Al"], "fractional_positions": [[0.000, 0.000, 0.000], [0.750, 0.750, 0.750], [0.250, 0.250, 0.250]], "delta_e_f_ev_per_atom": 1.01, "magnetic_moment_mub_per_fu": 3.681, "crystal_system": "cubic"}

***

No. 8
{"formula": "SiNi2Hg", "functional": "PBE", "state": "optimized geometry", "lattice_angstrom": [[-3.340, 3.340, 2.688], [3.340, -3.340, 2.688], [3.340, 3.340, -2.688]], "species": ["Si", "Si", "Ni", "Ni", "Ni", "Ni", "Hg", "Hg"], "fractional_positions": [[0.000, 0.000, 0.000], [0.750, 0.250, 0.500], [0.072, 0.625, 0.947], [0.375, 0.322, 0.447], [0.678, 0.125, 0.053], [0.875, 0.928, 0.553], [0.250, 0.750, 0.500], [0.500, 0.500, 0.000]], "raw_formation_energy_kj_per_mol_fu": 50, "magnetic_moment_mub_per_fu": 0.000, "crystal_system": "tetragonal"}

***

No. 9
{"formula": "RbHf2Tl2", "functional": "PBE", "state": "optimized geometry", "lattice_angstrom": [[9.246, 0.000, 0.000], [0.000, 9.246, 0.000], [0.000, 0.000, 3.155]], "species": ["Rb", "Rb", "Hf", "Hf", "Hf", "Hf", "Tl", "Tl", "Tl", "Tl"], "fractional_positions": [[0.000, 0.000, 0.000], [0.500, 0.500, 0.000], [0.119, 0.381, 0.000], [0.381, 0.881, 0.000], [0.619, 0.119, 0.000], [0.881, 0.619, 0.000], [0.174, 0.674, 0.500], [0.326, 0.174, 0.500], [0.674, 0.826, 0.500], [0.826, 0.326, 0.500]], "delta_e_f_ev_per_atom": 0.32, "magnetic_moment_mub_per_fu": 0.000, "crystal_system": "tetragonal"}

***

No. 10
{"formula": "LaTl2Cr", "functional": "PBE", "state": "optimized geometry", "lattice_angstrom": [[3.638, 0.000, 0.000], [0.000, 4.804, 0.000], [-1.812, 0.000, 6.283]], "species": ["La", "Tl", "Tl", "Cr"], "fractional_positions": [[0.000, 0.000, 0.000], [0.266, 0.000, 0.531], [0.648, 0.500, 0.295], [0.397, 0.500, 0.791]], "delta_e_f_ev_per_atom": 0.21, "magnetic_moment_mub_per_fu": 4.072, "crystal_system": "monoclinic"}

***

No. 11
{"formula": "Sm6Y5Ho2", "functional": "PBE", "state": "optimized geometry", "lattice_angstrom": [[11.680, 0.000, 0.000], [0.000, 20.518, 0.000], [0.000, 0.000, 3.622]], "species": ["Sm", "Sm", "Sm", "Sm", "Sm", "Sm", "Sm", "Sm", "Sm", "Sm", "Sm", "Sm", "Y", "Y", "Y", "Y", "Y", "Y", "Y", "Y", "Y", "Y", "Ho", "Ho", "Ho", "Ho"], "fractional_positions": [[0.063, 0.079, 0.000], [0.082, 0.366, 0.000], [0.171, 0.635, 0.500], [0.329, 0.135, 0.500], [0.418, 0.866, 0.000], [0.437, 0.579, 0.000], [0.563, 0.421, 0.000], [0.582, 0.134, 0.000], [0.671, 0.865, 0.500], [0.829, 0.365, 0.500], [0.918, 0.634, 0.000], [0.937, 0.921, 0.000], [0.000, 0.500, 0.500], [0.092, 0.225, 0.500], [0.197, 0.944, 0.500], [0.303, 0.444, 0.500], [0.408, 0.725, 0.500], [0.500, 0.000, 0.500], [0.592, 0.275, 0.500], [0.697, 0.556, 0.500], [0.803, 0.056, 0.500], [0.908, 0.775, 0.500], [0.167, 0.789, 0.000], [0.333, 0.289, 0.000], [0.667, 0.711, 0.000], [0.833, 0.211, 0.000]], "delta_e_f_ev_per_atom": 0.10, "magnetic_moment_mub_per_fu": 0.000, "crystal_system": "orthorhombic"}

***

No. 12
{"formula": "MnZn2BiMo", "functional": "PBE", "state": "optimized geometry", "lattice_angstrom": [[5.214, 0.000, 0.000], [0.000, 5.214, 0.000], [0.000, 0.000, 5.432]], "species": ["Mn", "Zn", "Zn", "Bi", "Mo"], "fractional_positions": [[0.000, 0.000, 0.000], [0.000, 0.500, 0.500], [0.500, 0.000, 0.500], [0.500, 0.500, 0.500], [0.500, 0.500, 0.000]], "delta_e_f_ev_per_atom": 1.58, "magnetic_moment_mub_per_fu": 1.361, "crystal_system": "tetragonal"}